An optimized crystal structure of CsNaPd. Source: Alexandria via LeMat-Bulk, functional PBE-GGA.

Properties
Energy of formation from the pure elements in kJ/mol of formula units: 29
Total moment in Bohr magnetons per cell: 0.00

Cell lengths 5.3583, 4.9616, 4.9616 Å; angles 120.00, 90.00, 90.00 degrees
With the nearest neighbours (Å) after each atom.
Positions (direct):
Cs 0.6661 0.3333 0.6667  6 Pd 3.92-3.93, 6 Na 3.92
Na 0.1659 0.0000 0.0000  3 Pd 2.86
Pd 0.1680 0.6667 0.3333  3 Na 2.86